Compound: PaTlSi
Source: Alexandria via LeMat-Bulk
Functional: GGA-PBE
Structure: relaxed

Computed properties:
SG	Cmcm (63)
N(E_F)	3.9	states/eV/f.u.
total moment	0.000	μB/atom
uncorrected formation energy	-0.11	eV per atom

```
6
Lattice="3.668 0.000 0.000 0.000 4.465 0.000 0.000 2.232 8.819" Properties=species:S:1:pos:R:3 pbc="T T T"
Si 2.751 2.232 0.795
Pa 0.917 4.465 1.415
Pa 2.751 2.232 7.403
Si 0.917 4.465 8.024
Tl 2.751 4.465 5.010
Tl 0.917 2.232 3.809
```

Compound: BaBeHg2
Source: Alexandria via LeMat-Bulk
Functional: GGA-PBE
Structure: relaxed

Computed properties:
SG	Pm (6)
N(E_F)	1.8	states/eV/f.u.
E_form	-0.059	eV/atom
total moment	0.000	μB/atom

```
4
Lattice="4.692 0.000 0.000 0.000 4.812 0.018 0.000 4.779 5.404" Properties=species:S:1:pos:R:3 pbc="T T T"
Hg 0.000 8.153 5.410
Be 2.346 8.720 5.417
Hg 2.346 1.495 0.013
Ba 0.000 5.610 2.715
```

Q: What is the formula in the second record?
A: BaBeHg2